# SrSnMoO6, optimized geometry, DFT GGA+U
# Electronic total energy   -6.68 eV/atom
# DOS at the Fermi energy   0.00 states/eV/atom
# Calculated density   4.88 g cm⁻³
data_SrSnMoO6
_space_group_name_H-M_alt 'P -3 1 c'
_space_group_IT_number 163
_space_group_name_Hall '-P 3 2c'
_cell_length_a 5.4103
_cell_length_b 5.4103
_cell_length_c 10.6987
_cell_angle_alpha 90.00
_cell_angle_beta 90.00
_cell_angle_gamma 120.00
loop_
_atom_site_label
_atom_site_fract_x
_atom_site_fract_y
_atom_site_fract_z
Sr1 0.0000 0.0000 0.0000
Sn1 0.3333 0.6667 0.2500
Mo1 0.3333 0.6667 0.7500
O1 0.0183 0.3900 0.6461